# 1
A relaxed AlMoCl2 crystal. Source: the Alexandria database, functional GGA-PBEsol.

## Properties
- SG: Cm
- Raw formation energy: -0.193 eV/atom
- Calculated volume: 22.2 Å³ per atom
- Mass density: 3.6 g/cm3
- Uncorrected energy: -5.16 eV per atom
- Relative energy among the computed polymorphs: 0.00 kJ/mol of atoms

a = 9.503 Å, b = 2.957 Å, c = 6.579 Å
α = 90.00°, β = 105.80°, γ = 90.00°
Element x y z (fractional)
Al 0.000 0.000 0.000
Al 0.500 0.500 0.000
Mo 0.248 0.500 0.084
Mo 0.748 0.000 0.084
Cl 0.146 0.000 0.766
Cl 0.334 0.000 0.373
Cl 0.646 0.500 0.766
Cl 0.834 0.500 0.373



# 2
A relaxed AlMoS2Cl crystal. Source: the Alexandria database, functional GGA-PBEsol.

## Properties
- SG: P4/mmm
- Raw formation energy: -0.133 eV/atom
- Calculated volume: 21.0 Å³ per atom
- Mass density: 3.5 g/cm3
- Uncorrected energy: -5.46 eV per atom

a = 4.601 Å, b = 4.601 Å, c = 4.948 Å
α = 90.00°, β = 90.00°, γ = 90.00°
Element x y z (fractional)
Al 0.000 0.000 0.000
Mo 0.500 0.500 0.500
S 0.000 0.500 0.500
S 0.500 0.000 0.500
Cl 0.500 0.500 0.000



# 3
A relaxed AlN2Cl crystal. Source: the Alexandria database, functional GGA-PBEsol.

## Properties
- SG: R-3m
- Raw formation energy: 1.558 eV/atom
- Calculated volume: 12.1 Å³ per atom
- Mass density: 3.1 g/cm3
- Uncorrected energy: -4.23 eV per atom
- Relative energy among the computed polymorphs: 81.04 kJ/mol of atoms

a = 3.042 Å, b = 3.042 Å, c = 18.083 Å
α = 90.00°, β = 90.00°, γ = 120.00°
Element x y z (fractional)
Al 0.000 0.000 0.000
Al 0.333 0.667 0.667
Al 0.667 0.333 0.333
N 0.000 0.000 0.105
N 0.000 0.000 0.895
N 0.333 0.667 0.561
N 0.333 0.667 0.772
N 0.667 0.333 0.228
N 0.667 0.333 0.439
Cl 0.000 0.000 0.500
Cl 0.333 0.667 0.167
Cl 0.667 0.333 0.833



# 4
A relaxed AlN2Cl crystal. Source: the Alexandria database, functional GGA-PBEsol.

## Properties
- SG: I4_1/amd
- Raw formation energy: 0.718 eV/atom
- Calculated volume: 12.8 Å³ per atom
- Mass density: 2.9 g/cm3
- Uncorrected energy: -5.07 eV per atom
- Relative energy among the computed polymorphs: 0.00 kJ/mol of atoms

a = 4.009 Å, b = 4.009 Å, c = 12.792 Å
α = 90.00°, β = 90.00°, γ = 90.00°
Element x y z (fractional)
Al 0.000 0.250 0.375
Al 0.000 0.750 0.625
Al 0.500 0.250 0.125
Al 0.500 0.750 0.875
N 0.000 0.000 0.500
N 0.000 0.500 0.500
N 0.250 0.250 0.250
N 0.250 0.750 0.750
N 0.500 0.000 0.000
N 0.500 0.500 0.000
N 0.750 0.250 0.250
N 0.750 0.750 0.750
Cl 0.000 0.250 0.875
Cl 0.000 0.750 0.125
Cl 0.500 0.250 0.625
Cl 0.500 0.750 0.375



# 5
A relaxed AlN2Cl crystal. Source: the Alexandria database, functional GGA-PBEsol.

## Properties
- SG: Fm-3m
- Raw formation energy: 1.673 eV/atom
- Calculated volume: 10.4 Å³ per atom
- Mass density: 3.6 g/cm3
- Uncorrected energy: -4.12 eV per atom
- Relative energy among the computed polymorphs: 92.11 kJ/mol of atoms

a = 5.492 Å, b = 5.492 Å, c = 5.492 Å
α = 90.00°, β = 90.00°, γ = 90.00°
Element x y z (fractional)
Al 0.000 0.000 0.000
Al 0.000 0.500 0.500
Al 0.500 0.000 0.500
Al 0.500 0.500 0.000
N 0.250 0.250 0.250
N 0.250 0.250 0.750
N 0.250 0.750 0.250
N 0.250 0.750 0.750
N 0.750 0.250 0.250
N 0.750 0.250 0.750
N 0.750 0.750 0.250
N 0.750 0.750 0.750
Cl 0.000 0.000 0.500
Cl 0.000 0.500 0.000
Cl 0.500 0.000 0.000
Cl 0.500 0.500 0.500



# 6
A relaxed Al2N2Cl crystal. Source: the Alexandria database, functional GGA-PBEsol.

## Properties
- SG: I4/mmm
- Raw formation energy: -0.147 eV/atom
- Calculated volume: 10.6 Å³ per atom
- Mass density: 3.7 g/cm3
- Uncorrected energy: -5.60 eV per atom

a = 4.002 Å, b = 4.002 Å, c = 6.628 Å
α = 90.00°, β = 90.00°, γ = 90.00°
Element x y z (fractional)
Al 0.000 0.500 0.250
Al 0.000 0.500 0.750
Al 0.500 0.000 0.250
Al 0.500 0.000 0.750
N 0.000 0.000 0.111
N 0.000 0.000 0.889
N 0.500 0.500 0.389
N 0.500 0.500 0.611
Cl 0.000 0.000 0.500
Cl 0.500 0.500 0.000



# 7
A relaxed Pr20AlSi19N33Cl2O19 crystal. Source: the Alexandria database, functional GGA-PBEsol.

## Properties
- SG: Pm
- Raw formation energy: -2.098 eV/atom
- Calculated volume: 14.5 Å³ per atom
- Mass density: 5.1 g/cm3
- Uncorrected energy: -8.50 eV per atom

a = 10.547 Å, b = 11.611 Å, c = 11.164 Å
α = 90.00°, β = 90.10°, γ = 90.00°
Element x y z (fractional)
Pr 0.000 0.000 0.000
Pr 0.006 0.500 0.259
Pr 0.013 0.227 0.770
Pr 0.013 0.773 0.770
Pr 0.226 0.237 0.274
Pr 0.226 0.763 0.274
Pr 0.231 0.000 0.502
Pr 0.240 0.500 0.756
Pr 0.364 0.164 0.877
Pr 0.364 0.836 0.877
Pr 0.470 0.000 0.237
Pr 0.498 0.500 0.993
Pr 0.507 0.230 0.481
Pr 0.507 0.770 0.481
Pr 0.722 0.243 0.980
Pr 0.722 0.757 0.980
Pr 0.743 0.500 0.494
Pr 0.755 0.000 0.748
Pr 0.869 0.172 0.373
Pr 0.869 0.828 0.373
Al 0.587 0.000 0.983
Si 0.020 0.364 0.522
Si 0.020 0.636 0.522
Si 0.086 0.000 0.261
Si 0.151 0.000 0.770
Si 0.214 0.365 0.019
Si 0.214 0.635 0.019
Si 0.254 0.243 0.614
Si 0.254 0.757 0.614
Si 0.482 0.249 0.133
Si 0.482 0.751 0.133
Si 0.518 0.364 0.731
Si 0.518 0.636 0.731
Si 0.661 0.000 0.484
Si 0.716 0.367 0.233
Si 0.716 0.633 0.233
Si 0.752 0.247 0.632
Si 0.752 0.753 0.632
Si 0.980 0.246 0.118
Si 0.980 0.754 0.118
N 0.030 0.123 0.193
N 0.030 0.877 0.193
N 0.092 0.352 0.120
N 0.092 0.648 0.120
N 0.138 0.350 0.626
N 0.138 0.650 0.626
N 0.199 0.123 0.694
N 0.199 0.877 0.694
N 0.214 0.000 0.913
N 0.247 0.000 0.277
N 0.264 0.500 0.983
N 0.287 0.198 0.474
N 0.287 0.802 0.474
N 0.341 0.285 0.070
N 0.341 0.715 0.070
N 0.393 0.283 0.683
N 0.393 0.717 0.683
N 0.467 0.500 0.761
N 0.538 0.129 0.061
N 0.538 0.871 0.061
N 0.594 0.357 0.131
N 0.594 0.643 0.131
N 0.637 0.351 0.627
N 0.637 0.649 0.627
N 0.701 0.122 0.559
N 0.701 0.878 0.559
N 0.770 0.500 0.269
N 0.839 0.282 0.181
N 0.839 0.718 0.181
N 0.893 0.284 0.571
N 0.893 0.716 0.571
N 0.969 0.500 0.492
N 0.985 0.000 0.777
Cl 0.284 0.500 0.323
Cl 0.785 0.500 0.929
O 0.019 0.000 0.400
O 0.044 0.312 0.383
O 0.044 0.688 0.383
O 0.182 0.312 0.883
O 0.182 0.688 0.883
O 0.453 0.206 0.273
O 0.453 0.794 0.273
O 0.504 0.000 0.457
O 0.520 0.000 0.837
O 0.549 0.314 0.868
O 0.549 0.686 0.868
O 0.685 0.313 0.369
O 0.685 0.687 0.369
O 0.727 0.000 0.350
O 0.755 0.000 0.960
O 0.782 0.205 0.772
O 0.782 0.795 0.772
O 0.948 0.203 0.978
O 0.948 0.797 0.978



# 8
A relaxed AlPNCl2 crystal. Source: the Alexandria database, functional GGA-PBEsol.

## Properties
- SG: P4/mmm
- Raw formation energy: 0.569 eV/atom
- Calculated volume: 20.4 Å³ per atom
- Mass density: 2.3 g/cm3
- Uncorrected energy: -3.92 eV per atom

a = 5.623 Å, b = 5.623 Å, c = 3.230 Å
α = 90.00°, β = 90.00°, γ = 90.00°
Element x y z (fractional)
Al 0.000 0.000 0.000
P 0.500 0.500 0.000
N 0.500 0.500 0.500
Cl 0.000 0.500 0.500
Cl 0.500 0.000 0.500



# 9
A relaxed Al2RhNCl crystal. Source: the Alexandria database, functional GGA-PBEsol.

## Properties
- SG: P4/mmm
- Raw formation energy: -0.032 eV/atom
- Calculated volume: 17.7 Å³ per atom
- Mass density: 3.9 g/cm3
- Uncorrected energy: -5.40 eV per atom

a = 4.903 Å, b = 4.903 Å, c = 3.683 Å
α = 90.00°, β = 90.00°, γ = 90.00°
Element x y z (fractional)
Al 0.000 0.500 0.000
Al 0.500 0.000 0.000
Rh 0.000 0.000 0.000
N 0.000 0.000 0.500
Cl 0.500 0.500 0.500



# 10
A relaxed AlSN2Cl crystal. Source: the Alexandria database, functional GGA-PBEsol.

## Properties
- SG: P4/mmm
- Raw formation energy: 0.868 eV/atom
- Calculated volume: 14.6 Å³ per atom
- Mass density: 2.8 g/cm3
- Uncorrected energy: -4.64 eV per atom
- Relative energy among the computed polymorphs: 0.00 kJ/mol of atoms

a = 3.656 Å, b = 3.656 Å, c = 5.461 Å
α = 90.00°, β = 90.00°, γ = 90.00°
Element x y z (fractional)
Al 0.000 0.000 0.000
S 0.000 0.000 0.500
N 0.000 0.500 0.000
N 0.500 0.000 0.000
Cl 0.500 0.500 0.500



# 11
A relaxed AlS2NCl4 crystal. Source: the Alexandria database, functional GGA-PBEsol.

## Properties
- SG: Pnma
- Raw formation energy: -0.698 eV/atom
- Calculated volume: 26.5 Å³ per atom
- Mass density: 1.9 g/cm3
- Uncorrected energy: -4.37 eV per atom

a = 11.098 Å, b = 7.181 Å, c = 10.637 Å
α = 90.00°, β = 90.00°, γ = 90.00°
Element x y z (fractional)
Al 0.107 0.250 0.202
Al 0.393 0.750 0.702
Al 0.607 0.250 0.298
Al 0.893 0.750 0.798
S 0.126 0.250 0.841
S 0.157 0.250 0.562
S 0.343 0.750 0.062
S 0.374 0.750 0.341
S 0.626 0.250 0.659
S 0.657 0.250 0.938
S 0.843 0.750 0.438
S 0.874 0.750 0.159
N 0.144 0.250 0.702
N 0.356 0.750 0.202
N 0.644 0.250 0.798
N 0.856 0.750 0.298
Cl 0.046 0.750 0.922
Cl 0.108 0.010 0.322
Cl 0.108 0.490 0.322
Cl 0.233 0.750 0.587
Cl 0.267 0.250 0.087
Cl 0.392 0.510 0.822
Cl 0.392 0.990 0.822
Cl 0.454 0.250 0.422
Cl 0.546 0.750 0.578
Cl 0.608 0.010 0.178
Cl 0.608 0.490 0.178
Cl 0.733 0.750 0.913
Cl 0.767 0.250 0.413
Cl 0.892 0.510 0.678
Cl 0.892 0.990 0.678
Cl 0.954 0.250 0.078



# 12
A relaxed AlSN2Cl crystal. Source: the Alexandria database, functional GGA-PBEsol.

## Properties
- SG: P4/mmm
- Raw formation energy: 1.685 eV/atom
- Calculated volume: 15.2 Å³ per atom
- Mass density: 2.7 g/cm3
- Uncorrected energy: -3.82 eV per atom
- Relative energy among the computed polymorphs: 78.84 kJ/mol of atoms

a = 3.502 Å, b = 3.502 Å, c = 6.189 Å
α = 90.00°, β = 90.00°, γ = 90.00°
Element x y z (fractional)
Al 0.000 0.000 0.000
S 0.500 0.500 0.000
N 0.000 0.500 0.500
N 0.500 0.000 0.500
Cl 0.500 0.500 0.500